# RbVBi2 (PBE, optimized geometry)
data_RbVBi2
_cell_length_a 7.771
_cell_length_b 7.771
_cell_length_c 7.771
_cell_angle_alpha 90.00
_cell_angle_beta 90.00
_cell_angle_gamma 90.00
_space_group_name_H-M_alt 'F m -3 m'
_space_group_IT_number 225
_space_group_name_Hall '-F 4 2 3'
loop_
_atom_site_label
_atom_site_fract_x
_atom_site_fract_y
_atom_site_fract_z
Rb1 0.000 0.000 0.000
V1 0.000 0.000 0.500
Bi1 0.250 0.250 0.250
# Calculated total energy: -4.04 eV per atom
# Magnetization: 3.46 μB per formula unit
# DOS(E_F): 7.4 states/eV/cell
# Formation energy: 426 meV per atom



# Rb2VBi (PBE, optimized geometry)
data_Rb2VBi
_cell_length_a 13.901
_cell_length_b 13.901
_cell_length_c 5.351
_cell_angle_alpha 90.00
_cell_angle_beta 90.00
_cell_angle_gamma 90.00
_space_group_name_H-M_alt 'I -4 2 d'
_space_group_IT_number 122
_space_group_name_Hall 'I -4 2bw'
loop_
_atom_site_label
_atom_site_fract_x
_atom_site_fract_y
_atom_site_fract_z
Rb1 0.008 0.250 0.125
V1 0.000 0.000 0.000
Bi1 0.000 0.000 0.500
# Calculated total energy: -3.33 eV per atom
# Magnetization: 3.78 μB per formula unit
# DOS(E_F): 9.5 states/eV/cell
# Formation energy: 401 meV per atom



# RbBi3W (PBE, optimized geometry)
data_RbBi3W
_cell_length_a 5.562
_cell_length_b 5.562
_cell_length_c 5.562
_cell_angle_alpha 90.00
_cell_angle_beta 90.00
_cell_angle_gamma 90.00
_space_group_name_H-M_alt 'P m -3 m'
_space_group_IT_number 221
_space_group_name_Hall '-P 4 2 3'
loop_
_atom_site_label
_atom_site_fract_x
_atom_site_fract_y
_atom_site_fract_z
Rb1 0.000 0.000 0.000
Bi1 0.000 0.500 0.500
W1 0.500 0.500 0.500
# Calculated total energy: -4.64 eV per atom
# Magnetization: 0.00 μB per formula unit
# DOS(E_F): 5.1 states/eV/cell
# Formation energy: 474 meV per atom



# Rb2Bi2W (PBE, optimized geometry)
data_Rb2Bi2W
_cell_length_a 7.532
_cell_length_b 7.532
_cell_length_c 6.272
_cell_angle_alpha 90.00
_cell_angle_beta 90.00
_cell_angle_gamma 90.00
_space_group_name_H-M_alt 'P 4/m b m'
_space_group_IT_number 127
_space_group_name_Hall '-P 4 2ab'
loop_
_atom_site_label
_atom_site_fract_x
_atom_site_fract_y
_atom_site_fract_z
Rb1 0.170 0.330 0.000
Bi1 0.155 0.655 0.500
W1 0.000 0.000 0.500
# Calculated total energy: -4.03 eV per atom
# Magnetization: 2.01 μB per formula unit
# DOS(E_F): 4.6 states/eV/cell
# Formation energy: 501 meV per atom



# Rb2Bi2W (PBE, optimized geometry)
data_Rb2Bi2W
_cell_length_a 4.078
_cell_length_b 4.078
_cell_length_c 17.770
_cell_angle_alpha 90.00
_cell_angle_beta 90.00
_cell_angle_gamma 90.00
_space_group_name_H-M_alt 'I 4/m m m'
_space_group_IT_number 139
_space_group_name_Hall '-I 4 2'
loop_
_atom_site_label
_atom_site_fract_x
_atom_site_fract_y
_atom_site_fract_z
Rb1 0.000 0.500 0.250
Bi1 0.000 0.000 0.085
W1 0.000 0.000 0.500
# Calculated total energy: -3.29 eV per atom
# Magnetization: 0.00 μB per formula unit
# DOS(E_F): 9.9 states/eV/cell
# Formation energy: 1237 meV per atom



# RbBiW3 (PBE, optimized geometry)
data_RbBiW3
_cell_length_a 5.214
_cell_length_b 5.214
_cell_length_c 5.214
_cell_angle_alpha 90.00
_cell_angle_beta 90.00
_cell_angle_gamma 90.00
_space_group_name_H-M_alt 'P m -3 m'
_space_group_IT_number 221
_space_group_name_Hall '-P 4 2 3'
loop_
_atom_site_label
_atom_site_fract_x
_atom_site_fract_y
_atom_site_fract_z
Rb1 0.000 0.000 0.000
Bi1 0.500 0.500 0.500
W1 0.000 0.500 0.500
# Calculated total energy: -5.62 eV per atom
# Magnetization: 0.23 μB per formula unit
# DOS(E_F): 9.4 states/eV/cell
# Formation energy: 3122 meV per atom



# RbBi3W (PBE, optimized geometry)
data_RbBi3W
_cell_length_a 5.832
_cell_length_b 5.832
_cell_length_c 5.832
_cell_angle_alpha 90.00
_cell_angle_beta 90.00
_cell_angle_gamma 90.00
_space_group_name_H-M_alt 'P m -3 m'
_space_group_IT_number 221
_space_group_name_Hall '-P 4 2 3'
loop_
_atom_site_label
_atom_site_fract_x
_atom_site_fract_y
_atom_site_fract_z
Rb1 0.000 0.000 0.000
Bi1 0.000 0.000 0.500
W1 0.500 0.500 0.500
# Calculated total energy: -2.47 eV per atom
# Magnetization: 0.50 μB per formula unit
# DOS(E_F): 12.9 states/eV/cell
# Formation energy: 2644 meV per atom



# RbBiW3 (PBE, optimized geometry)
data_RbBiW3
_cell_length_a 4.842
_cell_length_b 4.842
_cell_length_c 4.842
_cell_angle_alpha 90.00
_cell_angle_beta 90.00
_cell_angle_gamma 90.00
_space_group_name_H-M_alt 'P m -3 m'
_space_group_IT_number 221
_space_group_name_Hall '-P 4 2 3'
loop_
_atom_site_label
_atom_site_fract_x
_atom_site_fract_y
_atom_site_fract_z
Rb1 0.000 0.000 0.000
Bi1 0.500 0.500 0.500
W1 0.000 0.000 0.500
# Calculated total energy: -4.94 eV per atom
# Magnetization: 0.00 μB per formula unit
# DOS(E_F): 8.3 states/eV/cell
# Formation energy: 3800 meV per atom



# Rb2BiW (PBE, optimized geometry)
data_Rb2BiW
_cell_length_a 14.057
_cell_length_b 14.057
_cell_length_c 5.384
_cell_angle_alpha 90.00
_cell_angle_beta 90.00
_cell_angle_gamma 90.00
_space_group_name_H-M_alt 'I -4 2 d'
_space_group_IT_number 122
_space_group_name_Hall 'I -4 2bw'
loop_
_atom_site_label
_atom_site_fract_x
_atom_site_fract_y
_atom_site_fract_z
Rb1 0.027 0.250 0.125
Bi1 0.000 0.000 0.500
W1 0.000 0.000 0.000
# Calculated total energy: -3.68 eV per atom
# Magnetization: 3.00 μB per formula unit
# DOS(E_F): 5.7 states/eV/cell
# Formation energy: 1012 meV per atom



# RbBiW2 (PBE, optimized geometry)
data_RbBiW2
_cell_length_a 8.545
_cell_length_b 8.545
_cell_length_c 5.760
_cell_angle_alpha 90.00
_cell_angle_beta 90.00
_cell_angle_gamma 90.00
_space_group_name_H-M_alt 'I -4 2 d'
_space_group_IT_number 122
_space_group_name_Hall 'I -4 2bw'
loop_
_atom_site_label
_atom_site_fract_x
_atom_site_fract_y
_atom_site_fract_z
Rb1 0.000 0.000 0.000
Bi1 0.000 0.000 0.500
W1 0.201 0.250 0.625
# Calculated total energy: -5.36 eV per atom
# Magnetization: 0.00 μB per formula unit
# DOS(E_F): 20.5 states/eV/cell
# Formation energy: 2324 meV per atom



# RbYBi2 (PBE, optimized geometry)
data_RbYBi2
_cell_length_a 4.8753
_cell_length_b 4.8753
_cell_length_c 24.2762
_cell_angle_alpha 90.00
_cell_angle_beta 90.00
_cell_angle_gamma 120.00
_space_group_name_H-M_alt 'R -3 m'
_space_group_IT_number 166
_space_group_name_Hall '-R 3 2"'
loop_
_atom_site_label
_atom_site_fract_x
_atom_site_fract_y
_atom_site_fract_z
Rb1 0.0000 0.0000 0.0000
Y1 0.0000 0.0000 0.5000
Bi1 0.0000 0.0000 0.2259
# Calculated total energy: -4.18 eV per atom
# Magnetization: 0.00 μB per formula unit
# DOS(E_F): 9.8 states/eV/cell
# Formation energy: -383 meV per atom



# RbYBi2 (PBE, optimized geometry)
data_RbYBi2
_cell_length_a 8.158
_cell_length_b 8.158
_cell_length_c 8.158
_cell_angle_alpha 90.00
_cell_angle_beta 90.00
_cell_angle_gamma 90.00
_space_group_name_H-M_alt 'F m -3 m'
_space_group_IT_number 225
_space_group_name_Hall '-F 4 2 3'
loop_
_atom_site_label
_atom_site_fract_x
_atom_site_fract_y
_atom_site_fract_z
Rb1 0.000 0.000 0.000
Y1 0.000 0.000 0.500
Bi1 0.250 0.250 0.250
# Calculated total energy: -4.05 eV per atom
# Magnetization: 0.00 μB per formula unit
# DOS(E_F): 20.9 states/eV/cell
# Formation energy: -255 meV per atom